Crystalline Ir4RuW5 at its relaxed geometry. Source: the Alexandria database, functional GGA-PBE.

Results
* electronic total energy: -111.59 eV/cell
* symmetry: No. 123

Cell: 2.7802 2.7802 19.6203 Å, 90.00 90.00 90.00°
Sites, in units of the cell vectors:
Ir  0.0000  0.0000  0.1002
Ir  0.0000  0.0000  0.3003
Ir  0.0000  0.0000  0.6997
Ir  0.0000  0.0000  0.8998
Ru  0.0000  0.0000  0.5000
W  0.5000  0.5000  0.0000
W  0.5000  0.5000  0.2008
W  0.5000  0.5000  0.4017
W  0.5000  0.5000  0.5983
W  0.5000  0.5000  0.7992